VASP calculation (GGA-PBE) on a relaxed structure of AlFeBr6.

Summary:
Its total DFT energy (no corrections) is -2.892 eV/atom. The calculation puts the volume at 29.813 Å³ per atom.

Cell: 6.9610 6.9610 6.9610 Å, 60.00 60.00 60.00°
Closest atoms and distances in Å follow each position.
Atoms (fractional coordinates):
Br (0.2442, 0.2442, 0.7558)  1 Fe 2.40
Br (0.7558, 0.2442, 0.2442)  1 Fe 2.40
Br (0.2442, 0.7558, 0.7558)  1 Fe 2.40
Al (0.2500, 0.2500, 0.2500)  12 Br 3.48
Fe (0.0000, 0.0000, 0.0000)  6 Br 2.40
Br (0.7558, 0.7558, 0.2442)  1 Fe 2.40
Br (0.2442, 0.7558, 0.2442)  1 Fe 2.40
Br (0.7558, 0.2442, 0.7558)  1 Fe 2.40